1.
VASP calculation (PBE) on KIr2Pb after structural relaxation.

POSCAR file:
```
KIr2Pb
1.0
4.3839 0.0000 0.0000
0.0000 4.3839 0.0000
0.0000 0.0000 8.2803
K Ir Pb
2 4 2
Cartesian
0.0000 0.0000 0.0000
2.1919 2.1919 4.1402
0.0000 2.1919 2.0701
0.0000 2.1919 6.2102
2.1919 0.0000 2.0701
2.1919 0.0000 6.2102
0.0000 0.0000 4.1402
2.1919 2.1919 0.0000
```

Computed properties:
ΔE_f: 0.96 eV per atom
Raw total energy: -4.68 eV per atom
Total magnetic moment: 0.000 μB per formula unit

=====

2.
VASP calculation (PBE) on Cs2RbNaTl after structural relaxation.

POSCAR file:
```
Cs2RbNaTl
1.0
7.5966 0.0000 0.0000
0.0000 7.5966 0.0000
0.0000 0.0000 6.3772
Cs Rb Na Tl
2 1 1 1
Cartesian
0.0000 3.7983 0.0000
3.7983 0.0000 0.0000
0.0000 0.0000 3.1886
3.7983 3.7983 3.1886
3.7983 3.7983 0.0000
```

Computed properties:
ΔE_f: 0.05 eV per atom
Energy above the most stable polymorph in this dataset: 0.000 eV/atom
Raw total energy: -1.22 eV per atom
Total magnetic moment: 0.000 μB per formula unit

=====

3.
VASP calculation (PBE) on AgSn2C after structural relaxation.

POSCAR file:
```
AgSn2C
1.0
6.0656 0.0000 0.0000
0.0000 6.0656 0.0000
0.0000 0.0000 9.8239
Ag Sn C
4 8 4
Cartesian
0.0000 0.0000 0.0000
0.0000 3.0328 2.4560
3.0328 0.0000 7.3679
3.0328 3.0328 4.9120
1.0891 1.5164 6.1400
1.5164 4.1219 8.5959
1.5164 4.9765 3.6840
1.9437 1.5164 1.2280
4.1219 4.5492 1.2280
4.5492 1.0891 3.6840
4.5492 1.9437 8.5959
4.9765 4.5492 6.1400
0.0000 0.0000 4.9120
0.0000 3.0328 7.3679
3.0328 0.0000 2.4560
3.0328 3.0328 0.0000
```

Computed properties:
ΔE_f: 0.71 eV per atom
Raw total energy: -4.31 eV per atom
Total magnetic moment: 0.000 μB per formula unit

=====

4.
VASP calculation (PBE) on Mg11Pt4Au9 after structural relaxation.

POSCAR file:
```
Mg11Pt4Au9
1.0
6.8697 -10.1637 0.0000
6.8697 10.1637 0.0000
0.0000 0.0000 3.0261
Mg Pt Au
11 4 9
Cartesian
0.0000 0.0000 0.0000
3.2336 3.5647 0.0000
6.8697 6.8131 0.0000
3.7348 0.0000 0.0000
6.8697 2.6868 0.0000
3.2336 -3.5647 0.0000
10.5058 3.5647 0.0000
6.8697 -2.6868 0.0000
10.0047 0.0000 0.0000
6.8697 -6.8131 0.0000
10.5058 -3.5647 0.0000
4.7588 1.9688 1.5130
4.7588 -1.9688 1.5130
8.9806 1.9688 1.5130
8.9806 -1.9688 1.5130
1.7605 1.6149 1.5130
5.3637 4.8775 1.5130
1.7605 -1.6149 1.5130
8.3757 4.8775 1.5130
6.8697 0.0000 1.5130
5.3637 -4.8775 1.5130
11.9789 1.6149 1.5130
8.3757 -4.8775 1.5130
11.9789 -1.6149 1.5130
```

Computed properties:
ΔE_f: -0.62 eV per atom
Raw total energy: -3.58 eV per atom
Total magnetic moment: 0.000 μB per formula unit

=====

5.
VASP calculation (PBE) on TbAl3B4O12 after structural relaxation.

POSCAR file:
```
TbAl3B4O12
1.0
3.6350 -4.6906 0.0000
3.6350 4.6906 0.0000
-2.5489 0.0000 10.8704
Tb Al B O
2 6 8 24
Cartesian
1.7233 4.3708 8.1528
2.9978 -4.3708 2.7176
2.0320 2.3595 5.1301
3.9635 2.3595 0.3051
2.9978 0.8168 2.7176
1.7233 -0.8168 8.1528
0.7576 -2.3595 10.5653
2.6891 -2.3595 5.7402
0.2424 1.7727 8.4551
1.8109 0.2628 0.0423
0.5365 -0.2628 5.4775
1.5169 -1.7727 3.0199
3.2043 1.7727 7.8505
4.1846 0.2628 5.3929
2.9102 -0.2628 10.8281
4.4787 -1.7727 2.4153
2.7952 3.8023 0.7218
1.7279 2.2013 3.2143
0.5611 1.1269 5.4267
0.9928 2.4872 9.3571
3.2004 3.8023 4.7134
0.3144 0.4117 8.2660
2.7312 0.9757 0.7905
2.4539 2.4872 6.9485
1.5889 -0.4117 2.8308
-0.7134 -1.1269 10.8619
4.2677 2.2013 2.2209
3.2644 0.9757 4.6446
1.4567 -0.9757 6.2257
0.4534 -2.2013 8.6495
5.4345 1.1269 0.0085
3.1322 0.4117 8.0395
2.2672 -2.4872 3.9219
1.9899 -0.9757 10.0798
4.4067 -0.4117 2.6044
1.5207 -3.8023 6.1570
3.7283 -2.4872 1.5133
4.1601 -1.1269 5.4437
2.9932 -2.2013 7.6561
1.9259 -3.8023 10.1485
```

Computed properties:
Raw formation energy: -2.831 eV/atom
Raw total energy: -7.93 eV per atom
Total magnetic moment: 0.000 μB per formula unit

=====

6.
VASP calculation (PBE) on FeReMo2 after structural relaxation.

POSCAR file:
```
FeReMo2
1.0
3.1401 0.0000 0.0000
0.0000 4.3446 0.0000
0.0000 0.0000 8.6252
Fe Re Mo
2 2 4
Cartesian
0.0000 0.0000 0.0000
1.5701 2.1723 0.0000
0.0000 0.0000 4.3126
1.5701 2.1723 4.3126
0.0000 2.1723 2.0723
0.0000 2.1723 6.5529
1.5701 0.0000 2.0723
1.5701 0.0000 6.5529
```

Computed properties:
ΔE_f: 0.10 eV per atom
Energy above the most stable polymorph in this dataset: 0.011 eV/atom
Raw total energy: -10.54 eV per atom
Total magnetic moment: 2.166 μB per formula unit

=====

7.
VASP calculation (PBE) on Fe3PdN after structural relaxation.

POSCAR file:
```
Fe3PdN
1.0
4.6192 0.0000 0.0000
0.0000 4.6192 0.0000
0.0000 0.0000 4.6192
Fe Pd N
3 1 1
Cartesian
0.0000 0.0000 2.3096
0.0000 2.3096 0.0000
2.3096 0.0000 0.0000
0.0000 0.0000 0.0000
2.3096 2.3096 2.3096
```

Computed properties:
Raw formation energy: 2.189 eV/atom
Raw total energy: -5.59 eV per atom
Total magnetic moment: 11.270 μB per formula unit

=====

8.
VASP calculation (PBE) on Li7In2Hg after structural relaxation.

POSCAR file:
```
Li7In2Hg
1.0
4.6719 0.0000 0.0000
-2.3359 4.0460 0.0000
0.0000 0.0000 9.9350
Li In Hg
7 2 1
Cartesian
0.0000 0.0000 0.0000
0.0000 0.0000 2.3174
0.0000 0.0000 4.6676
0.0000 2.6973 0.1558
0.0000 2.6973 6.3515
2.3359 1.3487 4.9014
2.3359 1.3487 8.4388
0.0000 0.0000 7.3018
0.0000 2.6973 3.2692
2.3359 1.3487 1.4997
```

Computed properties:
ΔE_f: -0.18 eV per atom
Raw total energy: -2.10 eV per atom
Total magnetic moment: 0.000 μB per formula unit

=====

9.
VASP calculation (PBE) on La2PrSm2Dy after structural relaxation.

POSCAR file:
```
La2PrSm2Dy
1.0
6.7596 0.0000 0.0000
0.0000 18.3089 0.0000
0.0000 0.0000 3.4643
La Pr Sm Dy
4 2 4 2
Cartesian
1.5527 3.3882 0.0000
1.8270 12.5426 1.7321
4.9325 5.7663 1.7321
5.2068 14.9207 0.0000
0.0000 9.1544 0.0000
3.3798 0.0000 1.7321
1.5334 6.4796 1.7321
1.8464 15.6340 0.0000
4.9132 2.6749 0.0000
5.2262 11.8293 1.7321
0.0000 0.0000 0.0000
3.3798 9.1544 1.7321
```

Computed properties:
ΔE_f: 0.24 eV per atom
Raw total energy: -4.54 eV per atom
Total magnetic moment: 0.000 μB per formula unit

=====

10.
VASP calculation (PBE) on TmMg9Cd2 after structural relaxation.

POSCAR file:
```
TmMg9Cd2
1.0
-6.0412 6.0412 3.8385
6.0412 -6.0412 3.8385
6.0412 6.0412 -3.8385
Tm Mg Cd
2 18 4
Cartesian
6.0412 3.0206 0.9596
0.0000 3.0206 2.8789
4.5781 -0.6073 1.3477
7.5043 -0.6073 1.3477
6.0412 -3.0206 2.8789
2.4133 1.5575 0.5716
9.6691 1.5575 0.5716
4.5781 5.4339 -1.3477
1.4631 -0.6073 2.4908
2.4133 4.4837 0.5716
3.6279 -1.5575 4.4101
2.4133 7.5987 -0.5716
3.6279 1.5575 3.2669
4.5781 6.6485 1.3477
1.4631 0.6073 5.1862
-3.6279 4.4837 3.2669
3.6279 4.4837 3.2669
0.0000 9.0618 0.9596
-1.4631 6.6485 2.4908
1.4631 6.6485 2.4908
0.0000 0.0000 0.0000
3.0206 3.0206 -1.9192
3.0206 -3.0206 1.9192
0.0000 6.0412 0.0000
```

Computed properties:
ΔE_f: -0.02 eV per atom
Raw total energy: -1.74 eV per atom
Total magnetic moment: 0.000 μB per formula unit

=====

11.
VASP calculation (PBE) on TlAu3 after structural relaxation.

POSCAR file:
```
TlAu3
1.0
3.1131 0.0000 0.0000
0.0000 4.7152 0.0000
0.0000 0.0000 5.5354
Tl Au
1 3
Cartesian
0.0000 0.0000 0.0000
0.0000 2.3576 3.5844
1.5566 0.0000 2.8265
1.5566 2.3576 1.0461
```

Computed properties:
ΔE_f: 0.09 eV per atom
Raw total energy: -2.96 eV per atom
Total magnetic moment: 0.000 μB per formula unit

=====

12.
VASP calculation (PBE) on NaTlWSe4 after structural relaxation.

POSCAR file:
```
NaTlWSe4
1.0
7.0648 0.0000 0.0000
0.0000 7.2706 0.0000
-2.7253 0.0000 8.5691
Na Tl W Se
2 2 2 8
Cartesian
1.5347 1.8177 0.4069
2.8047 5.4530 8.1622
0.1915 1.8177 4.8013
4.1479 5.4530 3.7678
-0.7042 5.4530 6.9822
5.0437 1.8177 1.5869
-2.0542 0.0470 6.4822
-2.0542 3.5883 6.4822
2.5760 5.4530 0.6649
1.1672 5.4530 5.5796
3.1723 1.8177 2.9895
1.7634 1.8177 7.9042
6.3936 3.6823 2.0869
6.3936 7.2236 2.0869
```

Computed properties:
Raw formation energy: -0.528 eV/atom
Raw total energy: -4.90 eV per atom
Total magnetic moment: 0.000 μB per formula unit